# YZrZnPt (PBE, relaxed)
data_YZrZnPt
_space_group_name_H-M_alt 'P 1'
_space_group_IT_number 1
_cell_length_a 4.869
_cell_length_b 4.869
_cell_length_c 4.869
_cell_angle_alpha 60.00
_cell_angle_beta 60.00
_cell_angle_gamma 60.00
loop_
_space_group_symop_operation_xyz
'x,y,z'
loop_
_atom_site_label
_atom_site_type_symbol
_atom_site_fract_x
_atom_site_fract_y
_atom_site_fract_z
Y1 Y 0.500 0.500 0.500
Pt1 Pt 0.750 0.750 0.750
Zn1 Zn 0.250 0.250 0.250
Zr1 Zr 0.000 0.000 0.000
# Density = 8.97 g/cm³
# Formation enthalpy at 0 K = -2.46 eV per formula unit
# Space-group type = F-43m, No. 216

# Na5B7C3 (PBE, relaxed)
data_Na5B7C3
_space_group_name_H-M_alt 'P 1'
_space_group_IT_number 1
_cell_length_a 7.738
_cell_length_b 7.738
_cell_length_c 8.590
_cell_angle_alpha 90.00
_cell_angle_beta 90.00
_cell_angle_gamma 142.55
loop_
_space_group_symop_operation_xyz
'x,y,z'
loop_
_atom_site_label
_atom_site_type_symbol
_atom_site_fract_x
_atom_site_fract_y
_atom_site_fract_z
Na1 Na 0.600 0.400 0.500
B1 B 0.320 0.318 0.750
B2 B 0.302 0.087 0.750
B3 B 0.682 0.680 0.250
B4 B 0.541 0.130 0.250
B5 B 0.280 0.082 0.250
Na2 Na 0.800 0.200 0.000
Na3 Na 0.199 0.801 0.000
B6 B 0.687 0.702 0.750
C1 C 0.473 0.873 0.250
C2 C 0.878 0.468 0.250
Na4 Na 0.000 0.000 0.500
B7 B 0.918 0.720 0.750
B8 B 0.059 0.270 0.750
B9 B 0.730 0.941 0.250
B10 B 0.298 0.313 0.250
B11 B 0.137 0.537 0.250
Na5 Na 0.401 0.599 0.000
C3 C 0.068 0.278 0.250
B12 B 0.913 0.698 0.250
C4 C 0.127 0.527 0.750
Na6 Na 0.199 0.801 0.500
B13 B 0.870 0.459 0.750
C5 C 0.722 0.932 0.750
C6 C 0.532 0.122 0.750
Na7 Na 0.800 0.200 0.500
Na8 Na 0.401 0.599 0.500
B14 B 0.463 0.863 0.750
Na9 Na 0.000 0.000 0.000
Na10 Na 0.600 0.400 0.000
# Density = 2.41 g/cm³
# Formation enthalpy at 0 K = 2.12 eV per formula unit
# Space-group type = Cmcm, No. 63

# Th4GeOs2 (PBE, relaxed)
data_Th4GeOs2
_space_group_name_H-M_alt 'P 1'
_space_group_IT_number 1
_cell_length_a 4.221
_cell_length_b 7.099
_cell_length_c 13.627
_cell_angle_alpha 90.00
_cell_angle_beta 90.00
_cell_angle_gamma 107.29
loop_
_space_group_symop_operation_xyz
'x,y,z'
loop_
_atom_site_label
_atom_site_type_symbol
_atom_site_fract_x
_atom_site_fract_y
_atom_site_fract_z
Th1 Th 0.232 0.464 0.884
Ge1 Ge 0.609 0.219 0.750
Os1 Os 0.129 0.259 0.062
Os2 Os 0.871 0.741 0.562
Th2 Th 0.500 0.000 0.500
Th3 Th 0.232 0.464 0.616
Th4 Th 0.768 0.536 0.116
Os3 Os 0.129 0.259 0.438
Th5 Th 0.768 0.536 0.384
Th6 Th 0.949 0.898 0.750
Th7 Th 0.051 0.102 0.250
Ge2 Ge 0.391 0.781 0.250
Th8 Th 0.500 0.000 0.000
Os4 Os 0.871 0.741 0.938
# Density = 11.77 g/cm³
# Formation enthalpy at 0 K = -2.93 eV per formula unit
# Space-group type = Cmcm, No. 63

# Na2TaSe3 (PBE, relaxed)
data_Na2TaSe3
_space_group_name_H-M_alt 'P 1'
_space_group_IT_number 1
_cell_length_a 6.451
_cell_length_b 7.245
_cell_length_c 7.245
_cell_angle_alpha 68.59
_cell_angle_beta 83.07
_cell_angle_gamma 83.07
loop_
_space_group_symop_operation_xyz
'x,y,z'
loop_
_atom_site_label
_atom_site_type_symbol
_atom_site_fract_x
_atom_site_fract_y
_atom_site_fract_z
Ta1 Ta 0.750 0.931 0.069
Na1 Na 0.666 0.205 0.489
Se1 Se 0.489 0.775 0.919
Na2 Na 0.334 0.795 0.511
Se2 Se 0.989 0.919 0.775
Na3 Na 0.166 0.489 0.205
Ta2 Ta 0.250 0.069 0.931
Na4 Na 0.834 0.511 0.795
Se3 Se 0.750 0.630 0.370
Se4 Se 0.250 0.370 0.630
Se5 Se 0.511 0.225 0.081
Se6 Se 0.011 0.081 0.225
# Density = 4.94 g/cm³
# Space-group type = C2/c, No. 15
# Raw formation energy = -0.8787 eV/atom

# CoTeAu4 (PBE, relaxed)
data_CoTeAu4
_space_group_name_H-M_alt 'P 1'
_space_group_IT_number 1
_cell_length_a 5.548
_cell_length_b 5.548
_cell_length_c 5.548
_cell_angle_alpha 60.00
_cell_angle_beta 60.00
_cell_angle_gamma 60.00
loop_
_space_group_symop_operation_xyz
'x,y,z'
loop_
_atom_site_label
_atom_site_type_symbol
_atom_site_fract_x
_atom_site_fract_y
_atom_site_fract_z
Au1 Au 0.375 0.375 0.375
Au2 Au 0.375 0.874 0.375
Co1 Co 0.750 0.750 0.750
Au3 Au 0.874 0.375 0.375
Te1 Te 0.000 0.000 0.000
Au4 Au 0.375 0.375 0.874
# Density = 13.40 g/cm³
# Space-group type = F-43m, No. 216
# Raw formation energy = 0.4285 eV/atom

# YRe2Mo (PBE, relaxed)
data_YRe2Mo
_space_group_name_H-M_alt 'P 1'
_space_group_IT_number 1
_cell_length_a 3.255
_cell_length_b 4.626
_cell_length_c 4.626
_cell_angle_alpha 90.00
_cell_angle_beta 90.00
_cell_angle_gamma 90.00
loop_
_space_group_symop_operation_xyz
'x,y,z'
loop_
_atom_site_label
_atom_site_type_symbol
_atom_site_fract_x
_atom_site_fract_y
_atom_site_fract_z
Re1 Re 0.000 0.000 0.000
Mo1 Mo 0.500 0.000 0.500
Re2 Re 0.000 0.500 0.500
Y1 Y 0.500 0.500 0.000
# Density = 13.28 g/cm³
# Formation enthalpy at 0 K = 1.44 eV per formula unit
# Space-group type = P4/mmm, No. 123

# Ni2AsIr (PBE, relaxed)
data_Ni2AsIr
_space_group_name_H-M_alt 'P 1'
_space_group_IT_number 1
_cell_length_a 4.907
_cell_length_b 4.907
_cell_length_c 4.303
_cell_angle_alpha 64.09
_cell_angle_beta 64.09
_cell_angle_gamma 34.20
loop_
_space_group_symop_operation_xyz
'x,y,z'
loop_
_atom_site_label
_atom_site_type_symbol
_atom_site_fract_x
_atom_site_fract_y
_atom_site_fract_z
As1 As 0.750 0.750 0.750
Ir1 Ir 0.250 0.250 0.250
Ni1 Ni 0.473 0.473 0.526
Ni2 Ni 0.027 0.027 0.974
# Density = 12.33 g/cm³
# Formation enthalpy at 0 K = 0.15 eV per formula unit
# Space-group type = C2/m, No. 12

# PmMgSc2In4 (PBE, relaxed)
data_PmMgSc2In4
_space_group_name_H-M_alt 'P 1'
_space_group_IT_number 1
_cell_length_a 5.107
_cell_length_b 5.107
_cell_length_c 9.121
_cell_angle_alpha 73.74
_cell_angle_beta 73.74
_cell_angle_gamma 60.00
loop_
_space_group_symop_operation_xyz
'x,y,z'
loop_
_atom_site_label
_atom_site_type_symbol
_atom_site_fract_x
_atom_site_fract_y
_atom_site_fract_z
Mg1 Mg 0.500 0.500 0.500
Pm1 Pm 0.000 0.000 0.000
In1 In 0.127 0.127 0.618
In2 In 0.620 0.620 0.139
Sc1 Sc 0.754 0.754 0.739
Sc2 Sc 0.246 0.246 0.261
In3 In 0.873 0.873 0.382
In4 In 0.380 0.380 0.861
# Density = 6.12 g/cm³
# Formation enthalpy at 0 K = -2.70 eV per formula unit
# Space-group type = R-3m, No. 166

# Mg2TaTc (PBE, relaxed)
data_Mg2TaTc
_space_group_name_H-M_alt 'P 1'
_space_group_IT_number 1
_cell_length_a 4.596
_cell_length_b 4.596
_cell_length_c 4.596
_cell_angle_alpha 120.08
_cell_angle_beta 120.08
_cell_angle_gamma 89.86
loop_
_space_group_symop_operation_xyz
'x,y,z'
loop_
_atom_site_label
_atom_site_type_symbol
_atom_site_fract_x
_atom_site_fract_y
_atom_site_fract_z
Ta1 Ta 0.500 0.500 0.000
Mg1 Mg 0.000 0.000 0.000
Tc1 Tc 0.750 0.250 0.500
Mg2 Mg 0.250 0.750 0.500
# Density = 7.93 g/cm³
# Formation enthalpy at 0 K = 0.65 eV per formula unit
# Space-group type = I-4m2, No. 119

# CePr3Pb3 (PBE, relaxed)
data_CePr3Pb3
_space_group_name_H-M_alt 'P 1'
_space_group_IT_number 1
_cell_length_a 5.669
_cell_length_b 9.611
_cell_length_c 9.611
_cell_angle_alpha 120.00
_cell_angle_beta 90.00
_cell_angle_gamma 90.00
loop_
_space_group_symop_operation_xyz
'x,y,z'
loop_
_atom_site_label
_atom_site_type_symbol
_atom_site_fract_x
_atom_site_fract_y
_atom_site_fract_z
Pb1 Pb 0.250 0.546 0.624
Pb2 Pb 0.250 0.078 0.454
Ce1 Ce 0.250 0.667 0.333
Pb3 Pb 0.750 0.624 0.078
Pr1 Pr 0.750 0.008 0.245
Pr2 Pr 0.750 0.237 0.992
Pr3 Pr 0.250 0.992 0.755
Pb4 Pb 0.750 0.922 0.546
Pb5 Pb 0.250 0.376 0.922
Pr4 Pr 0.250 0.763 0.008
Pr5 Pr 0.250 0.245 0.237
Pb6 Pb 0.750 0.454 0.376
Pr6 Pr 0.750 0.755 0.763
Ce2 Ce 0.750 0.333 0.667
# Density = 8.67 g/cm³
# Formation enthalpy at 0 K = -2.31 eV per formula unit
# Space-group type = P6_3/m, No. 176

# Ba2AlTe4 (PBE, relaxed)
data_Ba2AlTe4
_space_group_name_H-M_alt 'P 1'
_space_group_IT_number 1
_cell_length_a 8.216
_cell_length_b 6.808
_cell_length_c 9.989
_cell_angle_alpha 90.00
_cell_angle_beta 107.57
_cell_angle_gamma 90.00
loop_
_space_group_symop_operation_xyz
'x,y,z'
loop_
_atom_site_label
_atom_site_type_symbol
_atom_site_fract_x
_atom_site_fract_y
_atom_site_fract_z
Te1 Te 0.503 0.008 0.262
Ba1 Ba 0.258 0.250 0.942
Te2 Te 0.497 0.992 0.738
Ba2 Ba 0.742 0.750 0.058
Al1 Al 0.244 0.750 0.188
Te3 Te 0.097 0.750 0.919
Te4 Te 0.078 0.750 0.375
Te5 Te 0.503 0.492 0.262
Al2 Al 0.756 0.250 0.812
Ba3 Ba 0.225 0.250 0.430
Te6 Te 0.497 0.508 0.738
Ba4 Ba 0.775 0.750 0.570
Te7 Te 0.903 0.250 0.081
Te8 Te 0.922 0.250 0.625
# Density = 5.06 g/cm³
# Space-group type = P2_1/m, No. 11
# Raw formation energy = -1.1887 eV/atom

# CrBiCl6 (PBE, relaxed)
data_CrBiCl6
_space_group_name_H-M_alt 'P 1'
_space_group_IT_number 1
_cell_length_a 6.389
_cell_length_b 6.389
_cell_length_c 6.869
_cell_angle_alpha 62.28
_cell_angle_beta 62.28
_cell_angle_gamma 59.99
loop_
_space_group_symop_operation_xyz
'x,y,z'
loop_
_atom_site_label
_atom_site_type_symbol
_atom_site_fract_x
_atom_site_fract_y
_atom_site_fract_z
Cr1 Cr 0.000 0.000 0.000
Cl1 Cl 0.388 0.779 0.768
Cl2 Cl 0.221 0.934 0.232
Cl3 Cl 0.066 0.388 0.768
Cl4 Cl 0.934 0.612 0.232
Cl5 Cl 0.612 0.221 0.232
Cl6 Cl 0.779 0.066 0.768
Bi1 Bi 0.500 0.500 0.500
# Density = 3.84 g/cm³
# Space-group type = R-3, No. 148
# Raw formation energy = -0.9686 eV/atom

# CoBr2Cl (PBE, relaxed)
data_CoBr2Cl
_space_group_name_H-M_alt 'P 1'
_space_group_IT_number 1
_cell_length_a 3.186
_cell_length_b 3.186
_cell_length_c 9.609
_cell_angle_alpha 90.00
_cell_angle_beta 90.00
_cell_angle_gamma 90.00
loop_
_space_group_symop_operation_xyz
'x,y,z'
loop_
_atom_site_label
_atom_site_type_symbol
_atom_site_fract_x
_atom_site_fract_y
_atom_site_fract_z
Cl1 Cl 0.500 0.500 0.250
Co1 Co 0.500 0.500 0.750
Br1 Br 0.000 0.000 0.584
Br2 Br 0.000 0.000 0.916
# Density = 4.33 g/cm³
# Space-group type = P4/mmm, No. 123
# Raw formation energy = 0.2957 eV/atom

# ZnCu5Si2 (PBE, relaxed)
data_ZnCu5Si2
_space_group_name_H-M_alt 'P 1'
_space_group_IT_number 1
_cell_length_a 8.010
_cell_length_b 4.850
_cell_length_c 6.849
_cell_angle_alpha 86.28
_cell_angle_beta 125.79
_cell_angle_gamma 90.00
loop_
_space_group_symop_operation_xyz
'x,y,z'
loop_
_atom_site_label
_atom_site_type_symbol
_atom_site_fract_x
_atom_site_fract_y
_atom_site_fract_z
Cu1 Cu 0.135 0.486 0.431
Si1 Si 0.792 0.486 0.100
Zn1 Zn 0.500 0.500 0.500
Zn2 Zn 0.000 0.000 0.500
Si2 Si 0.307 0.986 0.100
Cu2 Cu 0.359 0.164 0.797
Cu3 Cu 0.438 0.664 0.797
Cu4 Cu 0.641 0.836 0.203
Cu5 Cu 0.001 0.250 0.000
Cu6 Cu 0.296 0.986 0.431
Cu7 Cu 0.999 0.750 0.000
Cu8 Cu 0.865 0.514 0.569
Si3 Si 0.208 0.514 0.900
Si4 Si 0.693 0.014 0.900
Cu9 Cu 0.704 0.014 0.569
Cu10 Cu 0.562 0.336 0.203
# Density = 6.78 g/cm³
# Space-group type = C2/c, No. 15
# Raw formation energy = 0.0554 eV/atom

# CeB3C (PBE, relaxed)
data_CeB3C
_space_group_name_H-M_alt 'P 1'
_space_group_IT_number 1
_cell_length_a 4.062
_cell_length_b 5.162
_cell_length_c 5.520
_cell_angle_alpha 90.00
_cell_angle_beta 90.00
_cell_angle_gamma 71.36
loop_
_space_group_symop_operation_xyz
'x,y,z'
loop_
_atom_site_label
_atom_site_type_symbol
_atom_site_fract_x
_atom_site_fract_y
_atom_site_fract_z
Ce1 Ce 0.450 0.439 0.701
C1 C 0.226 0.497 0.201
B1 B 0.044 0.989 0.701
B2 B 0.603 0.463 0.201
C2 C 0.421 0.954 0.701
Ce2 Ce 0.197 0.012 0.201
B3 B 0.883 0.582 0.041
B4 B 0.764 0.869 0.860
B5 B 0.883 0.582 0.360
B6 B 0.764 0.869 0.541
# Density = 5.59 g/cm³
# Formation enthalpy at 0 K = -2.23 eV per formula unit
# Space-group type = P2_1/m, No. 11

# Mg2SbPb (PBE, relaxed)
data_Mg2SbPb
_space_group_name_H-M_alt 'P 1'
_space_group_IT_number 1
_cell_length_a 4.117
_cell_length_b 3.323
_cell_length_c 8.049
_cell_angle_alpha 68.32
_cell_angle_beta 90.00
_cell_angle_gamma 90.00
loop_
_space_group_symop_operation_xyz
'x,y,z'
loop_
_atom_site_label
_atom_site_type_symbol
_atom_site_fract_x
_atom_site_fract_y
_atom_site_fract_z
Pb1 Pb 0.500 0.250 0.250
Sb1 Sb 0.500 0.750 0.750
Mg1 Mg 0.000 0.475 0.520
Mg2 Mg 0.000 0.025 0.980
# Density = 6.13 g/cm³
# Space-group type = P2/m, No. 10
# Raw formation energy = -0.1092 eV/atom

# K2HF4 (PBE, relaxed)
data_K2HF4
_space_group_name_H-M_alt 'P 1'
_space_group_IT_number 1
_cell_length_a 4.864
_cell_length_b 5.537
_cell_length_c 8.973
_cell_angle_alpha 90.00
_cell_angle_beta 116.74
_cell_angle_gamma 90.00
loop_
_space_group_symop_operation_xyz
'x,y,z'
loop_
_atom_site_label
_atom_site_type_symbol
_atom_site_fract_x
_atom_site_fract_y
_atom_site_fract_z
H1 H 0.543 0.250 0.752
F1 F 0.138 0.750 0.398
F2 F 0.461 0.958 0.250
K1 K 0.208 0.250 0.950
F3 F 0.461 0.542 0.250
K2 K 0.815 0.750 0.597
F4 F 0.539 0.458 0.750
F5 F 0.539 0.042 0.750
K3 K 0.792 0.750 0.050
F6 F 0.862 0.250 0.602
F7 F 0.810 0.250 0.079
F8 F 0.190 0.750 0.921
K4 K 0.185 0.250 0.403
H2 H 0.457 0.750 0.248
# Density = 2.39 g/cm³
# Space-group type = P2_1/m, No. 11
# Final energy = -3.886 eV per atom

# Pm2Nd2Hg (PBE, relaxed)
data_Pm2Nd2Hg
_space_group_name_H-M_alt 'P 1'
_space_group_IT_number 1
_cell_length_a 3.722
_cell_length_b 3.722
_cell_length_c 11.899
_cell_angle_alpha 99.00
_cell_angle_beta 99.00
_cell_angle_gamma 90.00
loop_
_space_group_symop_operation_xyz
'x,y,z'
loop_
_atom_site_label
_atom_site_type_symbol
_atom_site_fract_x
_atom_site_fract_y
_atom_site_fract_z
Pm1 Pm 0.414 0.414 0.829
Nd1 Nd 0.805 0.805 0.610
Pm2 Pm 0.586 0.586 0.171
Hg1 Hg 0.000 0.000 0.000
Nd2 Nd 0.195 0.195 0.390
# Density = 8.05 g/cm³
# Formation enthalpy at 0 K = -0.91 eV per formula unit
# Space-group type = I4/mmm, No. 139

# BaNbCd2Co (PBE, relaxed)
data_BaNbCd2Co
_space_group_name_H-M_alt 'P 1'
_space_group_IT_number 1
_cell_length_a 5.586
_cell_length_b 4.517
_cell_length_c 5.586
_cell_angle_alpha 90.00
_cell_angle_beta 90.00
_cell_angle_gamma 90.00
loop_
_space_group_symop_operation_xyz
'x,y,z'
loop_
_atom_site_label
_atom_site_type_symbol
_atom_site_fract_x
_atom_site_fract_y
_atom_site_fract_z
Ba1 Ba 0.500 0.500 0.500
Nb1 Nb 0.000 0.000 0.000
Cd1 Cd 0.500 0.000 0.000
Cd2 Cd 0.000 0.000 0.500
Co1 Co 0.000 0.500 0.000
# Density = 6.06 g/cm³
# Formation enthalpy at 0 K = 2.55 eV per formula unit
# Space-group type = P4/mmm, No. 123

# Y2Er7 (PBE, relaxed)
data_Y2Er7
_space_group_name_H-M_alt 'P 1'
_space_group_IT_number 1
_cell_length_a 3.532
_cell_length_b 9.588
_cell_length_c 9.588
_cell_angle_alpha 120.00
_cell_angle_beta 90.00
_cell_angle_gamma 90.00
loop_
_space_group_symop_operation_xyz
'x,y,z'
loop_
_atom_site_label
_atom_site_type_symbol
_atom_site_fract_x
_atom_site_fract_y
_atom_site_fract_z
Y1 Y 0.000 0.333 0.667
Er1 Er 0.000 0.304 0.000
Er2 Er 0.500 0.000 0.000
Er3 Er 0.500 0.360 0.360
Er4 Er 0.500 0.640 0.000
Er5 Er 0.000 0.000 0.304
Y2 Y 0.000 0.667 0.333
Er6 Er 0.500 0.000 0.640
Er7 Er 0.000 0.696 0.696
# Density = 7.96 g/cm³
# Formation enthalpy at 0 K = 0.37 eV per formula unit
# Space-group type = P-62m, No. 189